Entry 1:
## Sc5Fe (GGA-PBEsol)

Data for an optimized crystal structure of Sc5Fe. Values from VASP.

The structure in Quantum ESPRESSO input format:
```
&SYSTEM
  ibrav = 0, nat = 6, ntyp = 2
/
ATOMIC_SPECIES
Sc 44.96 Sc.upf
Fe 55.84 Fe.upf
CELL_PARAMETERS angstrom
-1.153 2.907 -0.116
-1.799 -0.615 2.486
9.215 3.961 7.651
ATOMIC_POSITIONS crystal
Sc 0.000 0.000 0.500
Sc 0.500 0.500 0.317
Sc 0.000 0.000 0.116
Sc 0.000 0.000 0.884
Fe 0.500 0.500 0.000
Sc 0.500 0.500 0.683
```

Computed properties:
Offset from the most stable computed form, eV per atom: 0.020
Formation enthalpy at 0 K, eV/atom: -0.021



Entry 2:
## LaTa2BeTl (GGA-PBEsol)

Data for an optimized crystal structure of LaTa2BeTl. Values from VASP.

The structure in Quantum ESPRESSO input format:
```
&SYSTEM
  ibrav = 0, nat = 5, ntyp = 4
/
ATOMIC_SPECIES
Be 9.01 Be.upf
Tl 204.38 Tl.upf
La 138.91 La.upf
Ta 180.95 Ta.upf
CELL_PARAMETERS angstrom
4.585 0.000 0.000
0.000 5.020 0.000
0.000 0.000 5.020
ATOMIC_POSITIONS crystal
Be 0.500 0.000 0.000
Tl 0.500 0.500 0.500
La 0.000 0.000 0.000
Ta 0.000 0.000 0.500
Ta 0.000 0.500 0.000
```

Computed properties:
Formation enthalpy at 0 K, eV/atom: 2.187



Entry 3:
## TaGe2CF (GGA-PBEsol)

Data for an optimized crystal structure of TaGe2CF. Values from VASP.

The structure in Quantum ESPRESSO input format:
```
&SYSTEM
  ibrav = 0, nat = 5, ntyp = 4
/
ATOMIC_SPECIES
C 12.01 C.upf
Ge 72.64 Ge.upf
Ta 180.95 Ta.upf
F 19.00 F.upf
CELL_PARAMETERS angstrom
-1.642 -0.038 -3.424
1.596 -3.867 -0.722
-3.480 -1.751 1.688
ATOMIC_POSITIONS crystal
C 0.000 0.000 0.000
Ge 0.000 0.500 0.000
Ta 0.500 0.500 0.500
Ge 0.000 0.000 0.500
F 0.500 0.000 0.000
```

Computed properties:
E_form (uncorrected), meV/atom: 761



Entry 4:
## ZnCuRu2 (GGA-PBEsol)

Data for an optimized crystal structure of ZnCuRu2. Values from VASP.

The structure in Quantum ESPRESSO input format:
```
&SYSTEM
  ibrav = 0, nat = 4, ntyp = 3
/
ATOMIC_SPECIES
Zn 65.41 Zn.upf
Cu 63.55 Cu.upf
Ru 101.07 Ru.upf
CELL_PARAMETERS angstrom
-0.530 2.420 -1.166
-1.671 -1.228 -1.788
-5.271 0.916 4.297
ATOMIC_POSITIONS crystal
Zn 0.000 0.000 0.511
Cu 0.500 0.500 0.743
Ru 0.500 0.500 0.244
Ru 0.000 0.000 0.003
```

Computed properties:
Formation enthalpy at 0 K, eV/atom: 0.018



Entry 5:
## V3HPb5O13 (GGA-PBEsol)

Data for an optimized crystal structure of V3HPb5O13. Values from VASP.

The structure in Quantum ESPRESSO input format:
```
&SYSTEM
  ibrav = 0, nat = 44, ntyp = 4
/
ATOMIC_SPECIES
O 16.00 O.upf
H 1.01 H.upf
V 50.94 V.upf
Pb 207.20 Pb.upf
CELL_PARAMETERS angstrom
-7.259 -0.961 -1.071
0.620 -9.269 4.119
-1.935 8.056 5.884
ATOMIC_POSITIONS crystal
O 0.939 0.912 0.253
O 0.757 0.598 0.127
H 0.572 0.000 0.000
O 0.072 0.253 0.347
V 0.755 0.402 0.030
Pb 0.498 0.667 0.333
O 0.753 0.330 0.837
O 0.439 0.659 0.912
Pb 0.751 0.755 0.006
V 0.255 0.371 0.402
O 0.572 0.347 0.094
O 0.257 0.127 0.529
O 0.072 0.094 0.747
Pb 0.012 0.667 0.333
H 0.072 0.000 0.000
O 0.072 0.653 0.906
O 0.572 0.747 0.653
Pb 0.751 0.251 0.245
V 0.755 0.970 0.371
O 0.253 0.493 0.330
O 0.753 0.163 0.493
V 0.255 0.598 0.970
O 0.439 0.088 0.747
V 0.755 0.629 0.598
O 0.205 0.000 0.000
Pb 0.998 0.333 0.667
O 0.939 0.747 0.659
Pb 0.512 0.333 0.667
O 0.757 0.873 0.471
O 0.253 0.670 0.163
O 0.253 0.837 0.507
Pb 0.251 0.749 0.755
O 0.439 0.253 0.341
O 0.705 0.000 0.000
Pb 0.751 0.994 0.749
O 0.939 0.341 0.088
O 0.257 0.402 0.873
Pb 0.251 0.245 0.994
O 0.572 0.906 0.253
O 0.257 0.471 0.598
V 0.255 0.030 0.629
Pb 0.251 0.006 0.251
O 0.753 0.507 0.670
O 0.757 0.529 0.402
```

Computed properties:
Energy, eV per atom: -7.28



Entry 6:
## MgRhAu2 (GGA-PBEsol)

Data for an optimized crystal structure of MgRhAu2. Values from VASP.

The structure in Quantum ESPRESSO input format:
```
&SYSTEM
  ibrav = 0, nat = 4, ntyp = 3
/
ATOMIC_SPECIES
Rh 102.91 Rh.upf
Mg 24.30 Mg.upf
Au 196.97 Au.upf
CELL_PARAMETERS angstrom
-3.533 0.621 -1.923
-1.356 -3.600 1.330
1.025 3.192 3.454
ATOMIC_POSITIONS crystal
Rh 0.500 0.500 0.000
Mg 0.000 0.000 0.000
Au 0.750 0.250 0.500
Au 0.250 0.750 0.500
```

Computed properties:
Formation enthalpy at 0 K, eV/atom: -0.263



Entry 7:
## SrZn2CdCo (GGA-PBEsol)

Data for an optimized crystal structure of SrZn2CdCo. Values from VASP.

The structure in Quantum ESPRESSO input format:
```
&SYSTEM
  ibrav = 0, nat = 5, ntyp = 4
/
ATOMIC_SPECIES
Zn 65.41 Zn.upf
Sr 87.62 Sr.upf
Co 58.93 Co.upf
Cd 112.41 Cd.upf
CELL_PARAMETERS angstrom
5.663 0.000 0.000
0.000 5.663 0.000
0.000 0.000 5.943
ATOMIC_POSITIONS crystal
Zn 0.000 0.500 0.000
Sr 0.000 0.000 0.000
Zn 0.500 0.000 0.000
Co 0.500 0.500 0.500
Cd 0.000 0.000 0.500
```

Computed properties:
Formation enthalpy at 0 K, eV/atom: 1.656



Entry 8:
## Mg3NbPt (GGA-PBEsol)

Data for an optimized crystal structure of Mg3NbPt. Values from VASP.

The structure in Quantum ESPRESSO input format:
```
&SYSTEM
  ibrav = 0, nat = 5, ntyp = 3
/
ATOMIC_SPECIES
Mg 24.30 Mg.upf
Nb 92.91 Nb.upf
Pt 195.08 Pt.upf
CELL_PARAMETERS angstrom
-4.643 0.408 -1.455
1.021 -2.617 -3.993
-1.114 -4.101 2.404
ATOMIC_POSITIONS crystal
Mg 0.500 0.000 0.000
Mg 0.000 0.000 0.500
Nb 0.500 0.500 0.500
Mg 0.000 0.500 0.000
Pt 0.000 0.000 0.000
```

Computed properties:
Formation enthalpy at 0 K, eV/atom: 0.505



Entry 9:
## Zn2Au (GGA-PBEsol)

Data for an optimized crystal structure of Zn2Au. Values from VASP.

The structure in Quantum ESPRESSO input format:
```
&SYSTEM
  ibrav = 0, nat = 3, ntyp = 2
/
ATOMIC_SPECIES
Au 196.97 Au.upf
Zn 65.41 Zn.upf
CELL_PARAMETERS angstrom
3.156 0.000 0.000
0.000 3.460 0.000
-1.578 -1.730 4.099
ATOMIC_POSITIONS crystal
Au 0.000 0.000 0.000
Zn 0.331 0.331 0.663
Zn 0.669 0.669 0.337
```

Computed properties:
Formation enthalpy at 0 K, eV/atom: -0.180



Entry 10:
## ZrBe2Pt (GGA-PBEsol)

Data for an optimized crystal structure of ZrBe2Pt. Values from VASP.

The structure in Quantum ESPRESSO input format:
```
&SYSTEM
  ibrav = 0, nat = 4, ntyp = 3
/
ATOMIC_SPECIES
Pt 195.08 Pt.upf
Be 9.01 Be.upf
Zr 91.22 Zr.upf
CELL_PARAMETERS angstrom
2.887 0.000 0.000
1.444 2.500 0.000
1.444 0.833 7.860
ATOMIC_POSITIONS crystal
Pt 0.500 0.500 0.500
Be 0.237 0.237 0.289
Zr 0.000 0.000 0.000
Be 0.763 0.763 0.711
```

Computed properties:
Offset from the most stable computed form, eV per atom: 0.562
Formation enthalpy at 0 K, eV/atom: -0.023



Entry 11:
## Er2Si5Ni3 (GGA-PBEsol)

Data for an optimized crystal structure of Er2Si5Ni3. Values from VASP.

The structure in Quantum ESPRESSO input format:
```
&SYSTEM
  ibrav = 0, nat = 20, ntyp = 3
/
ATOMIC_SPECIES
Ni 58.69 Ni.upf
Si 28.09 Si.upf
Er 167.26 Er.upf
CELL_PARAMETERS angstrom
-5.441 1.193 0.083
-3.039 -0.358 -7.118
-4.269 -6.465 0.002
ATOMIC_POSITIONS crystal
Ni 0.365 0.522 0.748
Si 0.250 0.500 0.500
Er 0.368 0.868 0.397
Ni 0.250 0.000 0.000
Si 0.394 0.260 0.952
Er 0.632 0.132 0.603
Si 0.017 0.233 0.233
Si 0.894 0.952 0.260
Ni 0.635 0.478 0.252
Er 0.132 0.603 0.132
Si 0.106 0.048 0.740
Ni 0.135 0.252 0.478
Si 0.750 0.500 0.500
Si 0.517 0.233 0.233
Ni 0.865 0.748 0.522
Ni 0.750 0.000 0.000
Si 0.606 0.740 0.048
Si 0.983 0.767 0.767
Er 0.868 0.397 0.868
Si 0.483 0.767 0.767
```

Computed properties:
E_form (uncorrected), meV/atom: -875



Entry 12:
## Tc3SbAu (GGA-PBEsol)

Data for an optimized crystal structure of Tc3SbAu. Values from VASP.

The structure in Quantum ESPRESSO input format:
```
&SYSTEM
  ibrav = 0, nat = 5, ntyp = 3
/
ATOMIC_SPECIES
Tc 98.00 Tc.upf
Au 196.97 Au.upf
Sb 121.76 Sb.upf
CELL_PARAMETERS angstrom
-4.132 1.465 1.943
1.809 -0.710 4.384
1.627 4.511 0.059
ATOMIC_POSITIONS crystal
Tc 0.000 0.500 0.000
Tc 0.000 0.000 0.500
Au 0.000 0.000 0.000
Sb 0.500 0.500 0.500
Tc 0.500 0.000 0.000
```

Computed properties:
E_form (uncorrected), meV/atom: 2204



| no. | magnetic moment (μB/cell) |
| --- | --- |
| 1 | 0.00 |
| 2 | 0.00 |
| 3 | 0.00 |
| 4 | 0.00 |
| 5 | 0.00 |
| 6 | 0.00 |
| 7 | 2.03 |
| 8 | 3.44 |
| 9 | 0.00 |
| 10 | 0.00 |
| 11 | 0.00 |
| 12 | 5.71 |